# NbHgBi2 PBE-GGA optimized geometry
data_NbHgBi2
_cell_length_a 3.746
_cell_length_b 3.746
_cell_length_c 7.265
_cell_angle_alpha 90.00
_cell_angle_beta 90.00
_cell_angle_gamma 90.00
_symmetry_space_group_name_H-M 'P 4/m m m'
_symmetry_Int_Tables_number 123
_symmetry_space_group_name_Hall '-P 4 2'
loop_
_atom_site_label
_atom_site_type_symbol
_atom_site_fract_x
_atom_site_fract_y
_atom_site_fract_z
Nb1 Nb 0.000 0.000 0.000
Hg1 Hg 0.000 0.000 0.500
Bi1 Bi 0.500 0.500 0.217
# crystal system = tetragonal
# calculated volume = 25.494 Å³/atom



# NpU2Sb4 PBE-GGA optimized geometry
data_NpU2Sb4
_cell_length_a 5.1989
_cell_length_b 5.1989
_cell_length_c 25.3680
_cell_angle_alpha 90.00
_cell_angle_beta 90.00
_cell_angle_gamma 120.00
_symmetry_space_group_name_H-M 'R -3 m'
_symmetry_Int_Tables_number 166
_symmetry_space_group_name_Hall '-R 3 2"'
loop_
_atom_site_label
_atom_site_type_symbol
_atom_site_fract_x
_atom_site_fract_y
_atom_site_fract_z
Np1 Np 0.0000 0.0000 0.0000
U1 U 0.0000 0.0000 0.2462
Sb1 Sb 0.0000 0.0000 0.1259
Sb2 Sb 0.0000 0.0000 0.3758
# crystal system = trigonal
# calculated volume = 28.277 Å³/atom
# E_form (uncorrected) = -0.07 eV/atom



# SbCl PBE-GGA optimized geometry
data_SbCl
_cell_length_a 4.6544
_cell_length_b 4.6544
_cell_length_c 9.2900
_cell_angle_alpha 90.00
_cell_angle_beta 90.00
_cell_angle_gamma 120.00
_symmetry_space_group_name_H-M 'P 63 m c'
_symmetry_Int_Tables_number 186
_symmetry_space_group_name_Hall 'P 6c -2c'
loop_
_atom_site_label
_atom_site_type_symbol
_atom_site_fract_x
_atom_site_fract_y
_atom_site_fract_z
Sb1 Sb 0.3333 0.6667 0.0000
Cl1 Cl 0.3333 0.6667 0.5695
# crystal system = hexagonal
# excess energy over the best structure of this formula in the dataset = 935 meV per atom
# calculated volume = 43.573 Å³/atom
# E_form (uncorrected) = 0.46 eV/atom



# Dy12Y5Ho PBE-GGA optimized geometry
data_Dy12Y5Ho
_cell_length_a 10.642
_cell_length_b 5.018
_cell_length_c 10.653
_cell_angle_alpha 90.00
_cell_angle_beta 90.13
_cell_angle_gamma 90.00
_symmetry_space_group_name_H-M 'P 1 2/m 1'
_symmetry_Int_Tables_number 10
_symmetry_space_group_name_Hall '-P 2y'
loop_
_atom_site_label
_atom_site_type_symbol
_atom_site_fract_x
_atom_site_fract_y
_atom_site_fract_z
Dy1 Dy 0.001 0.000 0.334
Dy2 Dy 0.166 0.500 0.499
Dy3 Dy 0.167 0.500 0.167
Dy4 Dy 0.332 0.000 0.332
Dy5 Dy 0.334 0.000 0.001
Dy6 Dy 0.499 0.500 0.166
Y1 Y 0.166 0.500 0.834
Y2 Y 0.333 0.000 0.667
Y3 Y 0.500 0.500 0.500
Ho1 Ho 0.000 0.000 0.000
# crystal system = monoclinic
# calculated volume = 31.602 Å³/atom



# LaZrAl3 PBE-GGA optimized geometry
data_LaZrAl3
_cell_length_a 5.275
_cell_length_b 5.275
_cell_length_c 5.275
_cell_angle_alpha 90.00
_cell_angle_beta 90.00
_cell_angle_gamma 90.00
_symmetry_space_group_name_H-M 'P m -3 m'
_symmetry_Int_Tables_number 221
_symmetry_space_group_name_Hall '-P 4 2 3'
loop_
_atom_site_label
_atom_site_type_symbol
_atom_site_fract_x
_atom_site_fract_y
_atom_site_fract_z
La1 La 0.000 0.000 0.000
Zr1 Zr 0.500 0.500 0.500
Al1 Al 0.000 0.000 0.500
# crystal system = cubic
# excess energy over the best structure of this formula in the dataset = 1140 meV per atom
# calculated volume = 29.356 Å³/atom



# Er6Tl3AsSe2 PBE-GGA optimized geometry
data_Er6Tl3AsSe2
_cell_length_a 6.786
_cell_length_b 11.767
_cell_length_c 8.228
_cell_angle_alpha 90.00
_cell_angle_beta 105.97
_cell_angle_gamma 90.00
_symmetry_space_group_name_H-M 'C 1 2/m 1'
_symmetry_Int_Tables_number 12
_symmetry_space_group_name_Hall '-C 2y'
loop_
_atom_site_label
_atom_site_type_symbol
_atom_site_fract_x
_atom_site_fract_y
_atom_site_fract_z
Er1 Er 0.236 0.165 0.215
Er2 Er 0.245 0.500 0.218
Tl1 Tl 0.000 0.170 0.500
Tl2 Tl 0.000 0.500 0.500
As1 As 0.000 0.000 0.000
Se1 Se 0.000 0.334 0.000
# crystal system = monoclinic
# calculated volume = 26.317 Å³/atom
# E_form (uncorrected) = -0.98 eV/atom



# Th3Al9Ru2 PBE-GGA optimized geometry
data_Th3Al9Ru2
_cell_length_a 4.413
_cell_length_b 9.734
_cell_length_c 12.678
_cell_angle_alpha 90.00
_cell_angle_beta 90.00
_cell_angle_gamma 90.00
_symmetry_space_group_name_H-M 'I m m m'
_symmetry_Int_Tables_number 71
_symmetry_space_group_name_Hall '-I 2 2'
loop_
_atom_site_label
_atom_site_type_symbol
_atom_site_fract_x
_atom_site_fract_y
_atom_site_fract_z
Th1 Th 0.000 0.000 0.000
Th2 Th 0.000 0.000 0.301
Al1 Al 0.000 0.283 0.125
Al2 Al 0.000 0.357 0.347
Al3 Al 0.000 0.500 0.000
Ru1 Ru 0.000 0.180 0.500
# crystal system = orthorhombic
# calculated volume = 19.448 Å³/atom



# Pm4Y5Er2 PBE-GGA optimized geometry
data_Pm4Y5Er2
_cell_length_a 24.103
_cell_length_b 3.553
_cell_length_c 8.648
_cell_angle_alpha 90.00
_cell_angle_beta 94.69
_cell_angle_gamma 90.00
_symmetry_space_group_name_H-M 'C 1 2/m 1'
_symmetry_Int_Tables_number 12
_symmetry_space_group_name_Hall '-C 2y'
loop_
_atom_site_label
_atom_site_type_symbol
_atom_site_fract_x
_atom_site_fract_y
_atom_site_fract_z
Pm1 Pm 0.039 0.000 0.344
Pm2 Pm 0.224 0.500 0.827
Y1 Y 0.000 0.500 0.000
Y2 Y 0.130 0.000 0.046
Y3 Y 0.185 0.000 0.474
Er1 Er 0.088 0.500 0.696
# crystal system = monoclinic
# excess energy over the best structure of this formula in the dataset = 0 meV per atom
# calculated volume = 33.547 Å³/atom



# Pu2SnSb3Pd4 PBE-GGA optimized geometry
data_Pu2SnSb3Pd4
_cell_length_a 4.497
_cell_length_b 4.497
_cell_length_c 11.105
_cell_angle_alpha 90.00
_cell_angle_beta 90.00
_cell_angle_gamma 90.00
_symmetry_space_group_name_H-M 'P -4 m 2'
_symmetry_Int_Tables_number 115
_symmetry_space_group_name_Hall 'P -4 -2'
loop_
_atom_site_label
_atom_site_type_symbol
_atom_site_fract_x
_atom_site_fract_y
_atom_site_fract_z
Pu1 Pu 0.000 0.500 0.239
Sn1 Sn 0.000 0.000 0.500
Sb1 Sb 0.000 0.500 0.867
Sb2 Sb 0.500 0.500 0.500
Pd1 Pd 0.000 0.000 0.000
Pd2 Pd 0.000 0.500 0.635
Pd3 Pd 0.500 0.500 0.000
# crystal system = tetragonal
# calculated volume = 22.463 Å³/atom
# E_form (uncorrected) = -0.57 eV/atom



# PmNd2Y3Er6 PBE-GGA optimized geometry
data_PmNd2Y3Er6
_cell_length_a 6.185
_cell_length_b 10.703
_cell_length_c 11.777
_cell_angle_alpha 90.00
_cell_angle_beta 100.05
_cell_angle_gamma 90.00
_symmetry_space_group_name_H-M 'C 1 2/m 1'
_symmetry_Int_Tables_number 12
_symmetry_space_group_name_Hall '-C 2y'
loop_
_atom_site_label
_atom_site_type_symbol
_atom_site_fract_x
_atom_site_fract_y
_atom_site_fract_z
Pm1 Pm 0.000 0.000 0.000
Nd1 Nd 0.000 0.333 0.000
Y1 Y 0.000 0.167 0.500
Y2 Y 0.000 0.500 0.500
Er1 Er 0.249 0.000 0.748
Er2 Er 0.249 0.333 0.748
# crystal system = monoclinic
# calculated volume = 31.982 Å³/atom



# Al6SnAu12 PBE-GGA optimized geometry
data_Al6SnAu12
_cell_length_a 12.1730
_cell_length_b 12.1730
_cell_length_c 8.4126
_cell_angle_alpha 90.00
_cell_angle_beta 90.00
_cell_angle_gamma 120.00
_symmetry_space_group_name_H-M 'R -3 m'
_symmetry_Int_Tables_number 166
_symmetry_space_group_name_Hall '-R 3 2"'
loop_
_atom_site_label
_atom_site_type_symbol
_atom_site_fract_x
_atom_site_fract_y
_atom_site_fract_z
Al1 Al 0.0688 0.5344 0.2411
Sn1 Sn 0.0000 0.0000 0.0000
Au1 Au 0.0000 0.3802 0.5000
Au2 Au 0.0821 0.1641 0.2841
# crystal system = trigonal
# calculated volume = 18.940 Å³/atom



# K2BaSiSe4 PBE-GGA optimized geometry
data_K2BaSiSe4
_cell_length_a 12.964
_cell_length_b 12.212
_cell_length_c 9.439
_cell_angle_alpha 90.00
_cell_angle_beta 133.26
_cell_angle_gamma 90.00
_symmetry_space_group_name_H-M 'C 1 2/c 1'
_symmetry_Int_Tables_number 15
_symmetry_space_group_name_Hall '-C 2yc'
loop_
_atom_site_label
_atom_site_type_symbol
_atom_site_fract_x
_atom_site_fract_y
_atom_site_fract_z
K1 K 0.000 0.000 0.000
K2 K 0.250 0.250 0.000
Ba1 Ba 0.250 0.250 0.500
Si1 Si 0.000 0.500 0.000
Se1 Se 0.008 0.299 0.017
Se2 Se 0.209 0.498 0.060
# crystal system = monoclinic
# calculated volume = 34.007 Å³/atom
# E_form (uncorrected) = -0.90 eV/atom



# InRh2Au PBE-GGA optimized geometry
data_InRh2Au
_cell_length_a 4.068
_cell_length_b 4.068
_cell_length_c 8.015
_cell_angle_alpha 90.00
_cell_angle_beta 90.00
_cell_angle_gamma 90.00
_symmetry_space_group_name_H-M 'I -4 m 2'
_symmetry_Int_Tables_number 119
_symmetry_space_group_name_Hall 'I -4 -2'
loop_
_atom_site_label
_atom_site_type_symbol
_atom_site_fract_x
_atom_site_fract_y
_atom_site_fract_z
In1 In 0.000 0.000 0.000
Rh1 Rh 0.000 0.000 0.500
Rh2 Rh 0.000 0.500 0.750
Au1 Au 0.000 0.500 0.250
# crystal system = tetragonal
# calculated volume = 16.579 Å³/atom



# AcCe3Nd2Se6 PBE-GGA optimized geometry
data_AcCe3Nd2Se6
_cell_length_a 7.363
_cell_length_b 12.764
_cell_length_c 7.408
_cell_angle_alpha 90.00
_cell_angle_beta 109.42
_cell_angle_gamma 90.00
_symmetry_space_group_name_H-M 'C 1 2/m 1'
_symmetry_Int_Tables_number 12
_symmetry_space_group_name_Hall '-C 2y'
loop_
_atom_site_label
_atom_site_type_symbol
_atom_site_fract_x
_atom_site_fract_y
_atom_site_fract_z
Ac1 Ac 0.000 0.000 0.000
Ce1 Ce 0.000 0.164 0.500
Ce2 Ce 0.000 0.500 0.500
Nd1 Nd 0.000 0.333 0.000
Se1 Se 0.243 0.329 0.742
Se2 Se 0.243 0.500 0.254
# crystal system = monoclinic
# calculated volume = 27.358 Å³/atom
# E_form (uncorrected) = -1.83 eV/atom



# NaPt3Br PBE-GGA optimized geometry
data_NaPt3Br
_cell_length_a 4.779
_cell_length_b 4.779
_cell_length_c 4.779
_cell_angle_alpha 90.00
_cell_angle_beta 90.00
_cell_angle_gamma 90.00
_symmetry_space_group_name_H-M 'P m -3 m'
_symmetry_Int_Tables_number 221
_symmetry_space_group_name_Hall '-P 4 2 3'
loop_
_atom_site_label
_atom_site_type_symbol
_atom_site_fract_x
_atom_site_fract_y
_atom_site_fract_z
Na1 Na 0.000 0.000 0.000
Pt1 Pt 0.000 0.000 0.500
Br1 Br 0.500 0.500 0.500
# crystal system = cubic
# excess energy over the best structure of this formula in the dataset = 878 meV per atom
# calculated volume = 21.828 Å³/atom
# E_form (uncorrected) = 1.62 eV/atom



# SmDyYTm2 PBE-GGA optimized geometry
data_SmDyYTm2
_cell_length_a 8.312
_cell_length_b 11.401
_cell_length_c 7.159
_cell_angle_alpha 90.00
_cell_angle_beta 90.00
_cell_angle_gamma 90.00
_symmetry_space_group_name_H-M 'C m c m'
_symmetry_Int_Tables_number 63
_symmetry_space_group_name_Hall '-C 2c 2'
loop_
_atom_site_label
_atom_site_type_symbol
_atom_site_fract_x
_atom_site_fract_y
_atom_site_fract_z
Sm1 Sm 0.000 0.013 0.250
Dy1 Dy 0.000 0.284 0.250
Y1 Y 0.000 0.271 0.750
Tm1 Tm 0.188 0.500 0.000
# crystal system = orthorhombic
# calculated volume = 33.923 Å³/atom



# AlSiN3 PBE-GGA optimized geometry
data_AlSiN3
_cell_length_a 3.562
_cell_length_b 3.562
_cell_length_c 3.562
_cell_angle_alpha 90.00
_cell_angle_beta 90.00
_cell_angle_gamma 90.00
_symmetry_space_group_name_H-M 'P m -3 m'
_symmetry_Int_Tables_number 221
_symmetry_space_group_name_Hall '-P 4 2 3'
loop_
_atom_site_label
_atom_site_type_symbol
_atom_site_fract_x
_atom_site_fract_y
_atom_site_fract_z
Al1 Al 0.000 0.000 0.000
Si1 Si 0.500 0.500 0.500
N1 N 0.000 0.500 0.500
# crystal system = cubic
# calculated volume = 9.038 Å³/atom
# E_form (uncorrected) = 0.51 eV/atom



# LiTc2P PBE-GGA optimized geometry
data_LiTc2P
_cell_length_a 4.199
_cell_length_b 4.199
_cell_length_c 5.863
_cell_angle_alpha 90.00
_cell_angle_beta 90.00
_cell_angle_gamma 90.00
_symmetry_space_group_name_H-M 'I -4 m 2'
_symmetry_Int_Tables_number 119
_symmetry_space_group_name_Hall 'I -4 -2'
loop_
_atom_site_label
_atom_site_type_symbol
_atom_site_fract_x
_atom_site_fract_y
_atom_site_fract_z
Li1 Li 0.000 0.000 0.000
Tc1 Tc 0.000 0.000 0.500
Tc2 Tc 0.000 0.500 0.250
P1 P 0.000 0.500 0.750
# crystal system = tetragonal
# calculated volume = 12.923 Å³/atom



# Ce2DyHo PBE-GGA optimized geometry
data_Ce2DyHo
_cell_length_a 3.4791
_cell_length_b 3.4791
_cell_length_c 34.4775
_cell_angle_alpha 90.00
_cell_angle_beta 90.00
_cell_angle_gamma 120.00
_symmetry_space_group_name_H-M 'R 3 m'
_symmetry_Int_Tables_number 160
_symmetry_space_group_name_Hall 'R 3 -2"'
loop_
_atom_site_label
_atom_site_type_symbol
_atom_site_fract_x
_atom_site_fract_y
_atom_site_fract_z
Ce1 Ce 0.0000 0.0000 0.0000
Ce2 Ce 0.0000 0.0000 0.1655
Dy1 Dy 0.0000 0.0000 0.5843
Ho1 Ho 0.0000 0.0000 0.4151
# crystal system = trigonal
# excess energy over the best structure of this formula in the dataset = 4 meV per atom
# calculated volume = 30.118 Å³/atom



# KBa4Ta PBE-GGA optimized geometry
data_KBa4Ta
_cell_length_a 10.728
_cell_length_b 10.728
_cell_length_c 10.728
_cell_angle_alpha 90.00
_cell_angle_beta 90.00
_cell_angle_gamma 90.00
_symmetry_space_group_name_H-M 'F -4 3 m'
_symmetry_Int_Tables_number 216
_symmetry_space_group_name_Hall 'F -4 2 3'
loop_
_atom_site_label
_atom_site_type_symbol
_atom_site_fract_x
_atom_site_fract_y
_atom_site_fract_z
K1 K 0.000 0.000 0.000
Ba1 Ba 0.123 0.123 0.377
Ta1 Ta 0.250 0.250 0.750
# crystal system = cubic
# calculated volume = 51.451 Å³/atom



Number 1: E_tot -0.3202 Ry per atom. Number 2: E_tot -0.5512 Ry per atom. Number 3: E_tot -0.1855 Ry per atom. Number 4: E_tot -0.3746 Ry per atom. Number 5: E_tot -0.2659 Ry per atom. Number 6: E_tot -0.3544 Ry per atom. Number 7: E_tot -0.4304 Ry per atom. Number 8: E_tot -0.3965 Ry per atom. Number 9: E_tot -0.5256 Ry per atom. Number 10: E_tot -0.3723 Ry per atom. Number 11: E_tot -0.2713 Ry per atom. Number 12: E_tot -0.2816 Ry per atom. Number 13: E_tot -0.3866 Ry per atom. Number 14: E_tot -0.4550 Ry per atom. Number 15: E_tot -0.1911 Ry per atom. Number 16: E_tot -0.3337 Ry per atom. Number 17: E_tot -0.4647 Ry per atom. Number 18: E_tot -0.5250 Ry per atom. Number 19: E_tot -0.3800 Ry per atom. Number 20: E_tot -0.1751 Ry per atom.